! NaTcO3 | the Alexandria database | PBE-GGA | relaxed; values from VASP
&SYSTEM
  ibrav = 0, nat = 20, ntyp = 3
/
ATOMIC_SPECIES
O 16.00 O.upf
Na 22.99 Na.upf
Tc 98.00 Tc.upf
CELL_PARAMETERS angstrom
-1.1075 -4.3486 2.3137
6.0828 3.6663 9.8023
-3.5462 1.7298 1.5536
ATOMIC_POSITIONS angstrom
O 2.4758 2.9196 8.5829
O 0.3913 1.4919 10.4104
O -1.0467 -1.8721 5.0868
O -3.8209 -1.7590 4.6453
O -1.5955 -0.4001 2.7561
O 0.1305 0.6402 5.5374
O -2.0950 -0.7187 7.4266
O 3.0246 1.4475 10.9136
O 1.2987 0.4073 8.1323
O 5.2500 2.8064 9.0243
O 1.0378 -0.4445 3.2593
O 3.5241 1.7661 6.2430
Na 1.2683 2.6980 5.6780
Na -0.5538 -2.1743 1.1569
Na -1.7731 0.8649 0.7768
Na 2.4876 -0.3412 6.0580
Tc -2.6943 -1.6333 6.0199
Tc 4.1234 2.6807 7.6498
Tc 2.5457 1.0059 9.2552
Tc -1.1166 0.0416 4.4144
! Raw formation energy: -1428 meV/atom
! Fermi-level density of states: 0.00 states/eV per cell

! HfZrGa2O8 | the Alexandria database | PBE-GGA | relaxed; values from VASP
&SYSTEM
  ibrav = 0, nat = 12, ntyp = 4
/
ATOMIC_SPECIES
Zr 91.22 Zr.upf
Ga 69.72 Ga.upf
O 16.00 O.upf
Hf 178.49 Hf.upf
CELL_PARAMETERS angstrom
-0.8517 -0.7178 5.6874
5.6299 -0.3572 -1.3281
-1.9339 5.2485 -1.5169
ATOMIC_POSITIONS angstrom
Zr 0.0000 0.0000 0.0000
Ga 2.3891 -0.5375 2.1797
Ga -0.1982 1.9966 3.1751
O 1.4606 2.7026 3.5161
O -1.2016 3.9815 0.3486
O -0.6348 1.3586 1.5111
O 2.1561 0.6172 0.7696
O -1.6854 3.0674 3.0840
O 0.0666 0.8578 4.5891
O 1.9367 3.6257 0.7216
O 2.7975 0.1225 3.8450
Hf 3.0426 2.1769 -0.3327
! Raw formation energy: -2224 meV/atom
! Fermi-level density of states: 11.43 states/eV per cell

The lowest raw formation energy belongs to which entry?
HfZrGa2O8

Repeat the first record exactly.
! NaTcO3 | the Alexandria database | PBE-GGA | relaxed; values from VASP
&SYSTEM
  ibrav = 0, nat = 20, ntyp = 3
/
ATOMIC_SPECIES
O 16.00 O.upf
Na 22.99 Na.upf
Tc 98.00 Tc.upf
CELL_PARAMETERS angstrom
-1.1075 -4.3486 2.3137
6.0828 3.6663 9.8023
-3.5462 1.7298 1.5536
ATOMIC_POSITIONS angstrom
O 2.4758 2.9196 8.5829
O 0.3913 1.4919 10.4104
O -1.0467 -1.8721 5.0868
O -3.8209 -1.7590 4.6453
O -1.5955 -0.4001 2.7561
O 0.1305 0.6402 5.5374
O -2.0950 -0.7187 7.4266
O 3.0246 1.4475 10.9136
O 1.2987 0.4073 8.1323
O 5.2500 2.8064 9.0243
O 1.0378 -0.4445 3.2593
O 3.5241 1.7661 6.2430
Na 1.2683 2.6980 5.6780
Na -0.5538 -2.1743 1.1569
Na -1.7731 0.8649 0.7768
Na 2.4876 -0.3412 6.0580
Tc -2.6943 -1.6333 6.0199
Tc 4.1234 2.6807 7.6498
Tc 2.5457 1.0059 9.2552
Tc -1.1166 0.0416 4.4144
! Raw formation energy: -1428 meV/atom
! Fermi-level density of states: 0.00 states/eV per cell

What is the raw formation energy in the second record?
-2224 meV/atom

What is the formula in the first record?
NaTcO3